(1)
The following is a DFT calculation (PBE) of an optimized crystal structure of GaRu2Cl.

Output
The energy comes out at -40.637 eV per cell. The density of states at the Fermi level is 1.013 states/eV/f.u. The distance to the lowest polymorph of the same formula comes out at 204 meV/atom. The spin magnetization is 0.00 μB per cell. The formation energy from raw total energies comes out at 0.777 eV/atom.

```
GaRu2Cl
1.0
5.5689 0.0000 0.0000
0.0000 5.5689 0.0000
2.7845 2.7845 5.0552
Ru Ga Cl
4 2 2
direct
0.5945 0.1250 0.2500
0.1555 0.6250 0.2500
0.3750 0.4055 0.7500
0.8750 0.8445 0.7500
0.0000 0.0000 0.0000
0.7500 0.2500 0.5000
0.5000 0.5000 0.0000
0.2500 0.7500 0.5000
```



(2)
The following is a DFT calculation (PBE) of an optimized crystal structure of LaSm3N4.

Output
The energy comes out at -127.642 eV per cell. The density of states at the Fermi level is 1.060 states/eV/f.u. The distance to the lowest polymorph of the same formula comes out at 0 meV/atom. The spin magnetization is 0.00 μB per cell. The formation energy from raw total energies comes out at -1.429 eV/atom.

```
LaSm3N4
1.0
-0.6456 0.9985 -6.1692
6.0170 -1.2841 1.2999
-1.2917 -7.0747 -1.0099
N Sm La
8 6 2
direct
0.0037 0.2509 0.6202
0.4986 0.2570 0.8725
0.5037 0.2509 0.3798
0.9986 0.2570 0.1275
0.0014 0.7430 0.8725
0.4963 0.7491 0.6202
0.5014 0.7430 0.1275
0.9963 0.7491 0.3798
0.7500 0.0000 0.3776
0.2500 0.0000 0.6224
0.7500 0.5000 0.6230
0.7500 0.5000 0.1265
0.2500 0.5000 0.3770
0.2500 0.5000 0.8735
0.7500 0.0000 0.8741
0.2500 0.0000 0.1259
```



(3)
The following is a DFT calculation (PBE) of an optimized crystal structure of La6ScAg.

Output
The energy comes out at -38.560 eV per cell. The density of states at the Fermi level is 15.222 states/eV/f.u. Its formation energy is 0.02 eV per atom. The spin magnetization is 0.00 μB per cell.

```
La6ScAg
1.0
-2.8212 4.9191 0.0888
-3.7893 -2.2336 3.5803
1.2153 3.8216 8.1668
La Sc Ag
6 1 1
direct
0.7455 0.7455 0.5086
0.6067 0.1063 0.7877
0.1063 0.6067 0.7876
0.3933 0.8937 0.2123
0.2545 0.2545 0.4914
0.8937 0.3933 0.2124
0.5000 0.5000 0.0000
0.0000 0.0000 0.0000
```